Density functional theory data (PBE-GGA) for an optimized crystal structure of BC.

## Properties
- volume (A^3/atom) = 6.96
- total moment (μB per cell) = 0.00
- energy relative to the elements (eV per formula unit) = 0.8
- SG = No. 8

Geometry as POSCAR:
```
BC
1.0
7.081 -1.291 0.000
7.081 1.291 0.000
-1.190 0.000 4.566
B C
6 6
Direct
0.000 0.000 0.000
0.191 0.191 0.527
0.380 0.380 0.400
0.508 0.508 0.603
0.560 0.560 0.260
0.828 0.828 0.137
0.061 0.061 0.746
0.172 0.172 0.856
0.374 0.374 0.713
0.674 0.674 0.338
0.709 0.709 0.042
0.883 0.883 0.882
```